VASP calculation (PBE with a Hubbard U) on a relaxed structure of PPtWO2.

Cell: 3.9053 3.9053 5.0456 Å, 90.00 90.00 90.00°
Closest atoms and distances in Å follow each position.
Element x y z (fractional)
O  0.0000  0.5000  0.0000  2 Pt 1.95
O  0.5000  0.0000  0.0000  2 Pt 1.95
P  0.0000  0.0000  0.5000  2 Pt 2.52, 4 W 2.76
W  0.5000  0.5000  0.5000  4 P 2.76
Pt  0.0000  0.0000  0.0000  4 O 1.95

SG: P4/mmm
offset from the most stable computed form: 497.3 kJ/mol of formula units
DFT total energy: -5.3536 eV per atom